Material: LiZr2Re
Method: DFT, PBE
State: relaxed

Cell: 4.867 4.867 7.743 Å, 90.00 90.00 120.00°
Positions (direct):
Li 0.000 0.000 0.000
Li 0.000 0.000 0.500
Re 0.333 0.667 0.250
Re 0.667 0.333 0.750
Zr 0.667 0.333 0.085
Zr 0.667 0.333 0.415
Zr 0.333 0.667 0.585
Zr 0.333 0.667 0.915

Output
The space group is P6_3/mmc (194). As for the energy above the most stable polymorph in this dataset: 553 meV/atom. As for the energy: -59.535 eV/cell.


Material: Li2TaSbS4
Method: DFT, PBE
State: relaxed

Cell: 3.489 3.489 13.212 Å, 90.00 90.00 120.00°
Positions (direct):
Li 0.000 0.000 0.255
Li 0.000 0.000 0.745
S 0.333 0.667 0.142
S 0.667 0.333 0.384
S 0.667 0.333 0.616
S 0.333 0.667 0.858
Sb 0.000 0.000 0.000
Ta 0.000 0.000 0.500

Output
The space group is P-6m2 (187). As for the energy: -43.103 eV/cell.


Material: LiSmSeS
Method: DFT, PBE
State: relaxed

Cell: 6.735 6.735 6.735 Å, 35.16 35.16 35.16°
Positions (direct):
Li 0.499 0.499 0.499
S 0.751 0.751 0.751
Se 0.246 0.246 0.246
Sm 0.004 0.004 0.004

Output
The space group is R3m (160). As for the energy: -21.194 eV/cell.


Material: LiTaSeS
Method: DFT, PBE
State: relaxed

Cell: 3.421 3.421 13.291 Å, 90.00 90.00 120.00°
Positions (direct):
Li 0.000 0.000 0.260
Li 0.000 0.000 0.740
S 0.667 0.333 0.383
S 0.667 0.333 0.617
Se 0.333 0.667 0.128
Se 0.333 0.667 0.872
Ta 0.000 0.000 0.000
Ta 0.000 0.000 0.500

Output
The space group is P-6m2 (187). As for the energy above the most stable polymorph in this dataset: 3 meV/atom. As for the energy: -51.812 eV/cell.


Material: Li3TaSe3S
Method: DFT, PBE
State: relaxed

Cell: 6.155 6.155 6.155 Å, 89.26 89.26 89.26°
Positions (direct):
Li 0.495 0.007 0.007
Li 0.007 0.495 0.007
Li 0.007 0.007 0.495
S 0.211 0.211 0.211
Se 0.774 0.774 0.232
Se 0.774 0.232 0.774
Se 0.232 0.774 0.774
Ta 0.999 0.999 0.999

Output
The space group is R3m (160). As for the energy: -40.810 eV/cell.


Material: LiTaSeS
Method: DFT, PBE
State: relaxed

Cell: 3.420 3.420 13.289 Å, 90.00 90.00 120.00°
Positions (direct):
Li 0.000 0.000 0.492
Li 0.000 0.000 0.992
S 0.333 0.667 0.373
S 0.667 0.333 0.873
Se 0.333 0.667 0.128
Se 0.667 0.333 0.628
Ta 0.000 0.000 0.256
Ta 0.000 0.000 0.756

Output
The space group is P6_3mc (186). As for the energy above the most stable polymorph in this dataset: 0 meV/atom. As for the energy: -51.835 eV/cell.


Material: LiTaSeS
Method: DFT, PBE
State: relaxed

Cell: 3.423 3.423 13.264 Å, 90.00 90.00 120.00°
Positions (direct):
Li 0.000 0.000 0.000
Li 0.000 0.000 0.500
S 0.333 0.667 0.123
S 0.667 0.333 0.877
Se 0.333 0.667 0.368
Se 0.667 0.333 0.632
Ta 0.000 0.000 0.239
Ta 0.000 0.000 0.761

Output
The space group is P-3m1 (164). As for the energy above the most stable polymorph in this dataset: 2 meV/atom. As for the energy: -51.821 eV/cell.


Material: Li3TaSeS3
Method: DFT, PBE
State: relaxed

Cell: 6.034 6.034 6.034 Å, 90.52 90.52 90.52°
Positions (direct):
Li 0.497 0.007 0.007
Li 0.007 0.497 0.007
Li 0.007 0.007 0.497
S 0.786 0.219 0.219
S 0.219 0.786 0.219
S 0.219 0.219 0.786
Se 0.766 0.766 0.766
Ta 0.999 0.999 0.999

Output
The space group is R3m (160). As for the energy: -42.648 eV/cell.


Material: LiTbSeS
Method: DFT, PBE
State: relaxed

Cell: 6.704 6.704 6.704 Å, 34.69 34.69 34.69°
Positions (direct):
Li 0.499 0.499 0.499
S 0.750 0.750 0.750
Se 0.247 0.247 0.247
Tb 0.004 0.004 0.004

Output
The space group is R3m (160). As for the energy: -21.217 eV/cell.


Material: Li2Zr2SeS3
Method: DFT, PBE
State: relaxed

Cell: 6.886 6.886 5.993 Å, 115.66 115.66 48.34°
Positions (direct):
Li 0.254 0.985 0.356
Li 0.015 0.746 0.644
S 0.397 0.603 0.000
S 0.121 0.379 0.279
S 0.621 0.879 0.721
Se 0.862 0.138 0.500
Zr 0.468 0.238 0.097
Zr 0.762 0.532 0.903

Output
The space group is C2 (5). As for the energy: -46.228 eV/cell.


Material: Li2SmSiS4
Method: DFT, PBE
State: relaxed

Cell: 5.831 5.831 5.821 Å, 112.11 112.11 104.25°
Positions (direct):
Li 0.751 0.251 0.500
Li 0.251 0.751 0.500
S 0.864 0.486 0.000
S 0.486 0.864 0.000
S 0.513 0.513 0.377
S 0.136 0.136 0.621
Si 0.500 0.500 0.000
Sm 0.000 0.000 0.000

Output
The space group is Cm (8). As for the energy: -40.095 eV/cell.


Material: SrLiSmS3
Method: DFT, PBE
State: relaxed

Cell: 10.603 4.051 12.915 Å, 90.00 90.00 90.00°
Positions (direct):
Li 0.770 0.250 0.228
Li 0.270 0.250 0.272
Li 0.730 0.750 0.728
Li 0.230 0.750 0.772
S 0.605 0.250 0.104
S 0.955 0.250 0.124
S 0.262 0.750 0.171
S 0.762 0.750 0.329
S 0.455 0.250 0.376
S 0.105 0.250 0.396
S 0.895 0.750 0.604
S 0.545 0.750 0.624
S 0.238 0.250 0.671
S 0.738 0.250 0.829
S 0.045 0.750 0.876
S 0.395 0.750 0.896
Sm 0.519 0.750 0.231
Sm 0.019 0.750 0.269
Sm 0.981 0.250 0.731
Sm 0.481 0.250 0.769
Sr 0.209 0.250 0.001
Sr 0.709 0.250 0.499
Sr 0.291 0.750 0.501
Sr 0.791 0.750 0.999

Output
The space group is Pnma (62). As for the energy above the most stable polymorph in this dataset: 11 meV/atom. As for the energy: -128.691 eV/cell.


Material: SrLiSmS3
Method: DFT, PBE
State: relaxed

Cell: 6.833 6.833 10.519 Å, 90.00 90.00 145.55°
Positions (direct):
Li 0.477 0.523 0.250
Li 0.523 0.477 0.750
S 0.364 0.636 0.073
S 0.080 0.920 0.250
S 0.364 0.636 0.427
S 0.636 0.364 0.573
S 0.920 0.080 0.750
S 0.636 0.364 0.927
Sm 0.000 0.000 0.000
Sm 0.000 0.000 0.500
Sr 0.750 0.250 0.250
Sr 0.250 0.750 0.750

Output
The space group is Cmcm (63). As for the energy above the most stable polymorph in this dataset: 18 meV/atom. As for the energy: -64.258 eV/cell.


Material: SrLiSmS3
Method: DFT, PBE
State: relaxed

Cell: 8.829 8.829 8.370 Å, 104.07 104.07 26.35°
Positions (direct):
Li 0.500 0.500 0.200
Li 0.500 0.500 0.800
S 0.000 0.000 0.000
S 0.334 0.334 0.145
S 0.675 0.675 0.321
S 0.500 0.500 0.500
S 0.325 0.325 0.679
S 0.666 0.666 0.855
Sm 0.166 0.166 0.091
Sm 0.834 0.834 0.909
Sr 0.868 0.868 0.436
Sr 0.132 0.132 0.564

Output
The space group is C2/m (12). As for the energy above the most stable polymorph in this dataset: 0 meV/atom. As for the energy: -64.478 eV/cell.


Material: LiTbSmS3
Method: DFT, PBE
State: relaxed

Cell: 8.570 8.570 8.060 Å, 103.70 103.70 25.79°
Positions (direct):
Li 0.501 0.501 0.306
Li 0.499 0.499 0.694
S 0.500 0.500 0.000
S 0.322 0.322 0.162
S 0.664 0.664 0.341
S 0.000 0.000 0.500
S 0.336 0.336 0.659
S 0.678 0.678 0.838
Sm 0.138 0.138 0.072
Sm 0.862 0.862 0.928
Tb 0.834 0.834 0.414
Tb 0.166 0.166 0.586

Output
The space group is C2/m (12). As for the energy: -69.791 eV/cell.


Material: LiSmTmS3
Method: DFT, PBE
State: relaxed

Cell: 6.701 6.701 11.624 Å, 90.00 90.00 144.95°
Positions (direct):
Li 0.772 0.228 0.250
Li 0.228 0.772 0.750
S 0.141 0.859 0.071
S 0.405 0.595 0.250
S 0.141 0.859 0.429
S 0.859 0.141 0.571
S 0.595 0.405 0.750
S 0.859 0.141 0.929
Sm 0.500 0.500 0.000
Sm 0.500 0.500 0.500
Tm 0.031 0.969 0.250
Tm 0.969 0.031 0.750

Output
The space group is Cmcm (63). As for the energy: -64.578 eV/cell.


Material: LiTmSnS3
Method: DFT, PBE
State: relaxed

Cell: 11.994 3.865 11.910 Å, 90.00 90.00 90.00°
Positions (direct):
Li 0.726 0.250 0.135
Li 0.226 0.250 0.365
Li 0.774 0.750 0.635
Li 0.274 0.750 0.865
S 0.878 0.750 0.049
S 0.339 0.250 0.197
S 0.600 0.750 0.221
S 0.100 0.750 0.279
S 0.839 0.250 0.303
S 0.378 0.750 0.451
S 0.622 0.250 0.549
S 0.161 0.750 0.697
S 0.900 0.250 0.721
S 0.400 0.250 0.779
S 0.661 0.750 0.803
S 0.122 0.250 0.951
Sn 0.430 0.750 0.089
Sn 0.930 0.750 0.411
Sn 0.070 0.250 0.589
Sn 0.570 0.250 0.911
Tm 0.006 0.250 0.143
Tm 0.506 0.250 0.357
Tm 0.494 0.750 0.643
Tm 0.994 0.750 0.857

Output
The space group is Pnma (62). As for the energy: -122.547 eV/cell.


Material: SrLiTbS3
Method: DFT, PBE
State: relaxed

Cell: 8.731 8.731 8.325 Å, 103.96 103.96 26.34°
Positions (direct):
Li 0.497 0.497 0.299
Li 0.503 0.503 0.701
S 0.500 0.500 0.000
S 0.326 0.326 0.185
S 0.667 0.667 0.357
S 0.000 0.000 0.500
S 0.333 0.333 0.643
S 0.674 0.674 0.815
Sr 0.133 0.133 0.064
Sr 0.867 0.867 0.936
Tb 0.834 0.834 0.413
Tb 0.166 0.166 0.587

Output
The space group is C2/m (12). As for the energy above the most stable polymorph in this dataset: 0 meV/atom. As for the energy: -64.574 eV/cell.


Material: SrLiTbS3
Method: DFT, PBE
State: relaxed

Cell: 13.269 4.004 10.431 Å, 90.00 90.00 90.00°
Positions (direct):
Li 0.494 0.250 0.089
Li 0.994 0.250 0.411
Li 0.006 0.750 0.589
Li 0.506 0.750 0.911
S 0.108 0.250 0.068
S 0.595 0.750 0.111
S 0.361 0.250 0.245
S 0.861 0.250 0.255
S 0.095 0.750 0.389
S 0.608 0.250 0.432
S 0.392 0.750 0.568
S 0.905 0.250 0.611
S 0.139 0.750 0.745
S 0.639 0.750 0.755
S 0.405 0.250 0.889
S 0.892 0.750 0.932
Sr 0.272 0.750 0.028
Sr 0.772 0.750 0.472
Sr 0.228 0.250 0.528
Sr 0.728 0.250 0.972
Tb 0.984 0.750 0.168
Tb 0.484 0.750 0.332
Tb 0.516 0.250 0.668
Tb 0.016 0.250 0.832

Output
The space group is Pnma (62). As for the energy above the most stable polymorph in this dataset: 42 meV/atom. As for the energy: -128.146 eV/cell.


Material: SrLiTbS3
Method: DFT, PBE
State: relaxed

Cell: 6.814 6.814 10.327 Å, 90.00 90.00 145.77°
Positions (direct):
Li 0.523 0.477 0.250
Li 0.477 0.523 0.750
S 0.634 0.366 0.069
S 0.922 0.078 0.250
S 0.634 0.366 0.431
S 0.366 0.634 0.569
S 0.078 0.922 0.750
S 0.366 0.634 0.931
Sr 0.250 0.750 0.250
Sr 0.750 0.250 0.750
Tb 0.000 0.000 0.000
Tb 0.000 0.000 0.500

Output
The space group is Cmcm (63). As for the energy above the most stable polymorph in this dataset: 21 meV/atom. As for the energy: -64.326 eV/cell.


Material: Sr2LiTcS6
Method: DFT, PBE
State: relaxed

Cell: 6.778 6.778 7.595 Å, 123.54 123.54 48.50°
Positions (direct):
Li 0.000 0.000 0.000
S 0.719 0.176 0.213
S 0.176 0.719 0.213
S 0.265 0.265 0.363
S 0.735 0.735 0.637
S 0.824 0.281 0.787
S 0.281 0.824 0.787
Sr 0.738 0.738 0.246
Sr 0.262 0.262 0.754
Tc 0.500 0.500 0.500

Output
The space group is C2/m (12). As for the energy: -50.121 eV/cell.